[1]
Density functional theory data (PBE) for crystalline HfGaOs2 at its relaxed geometry.

Symmetry: P4/mmm, No. 123
Crystal system: tetragonal
E_tot (eV per atom): -9.1846
Magnetization (μB/f.u.): 0.0

Cell: 3.2022 3.2022 6.1535 Å, 90.00 90.00 90.00°
Fractional positions:
Hf 0.0000 0.0000 0.0000
Ga 0.0000 0.0000 0.5000
Os 0.5000 0.5000 0.2658
Os 0.5000 0.5000 0.7342

=====

[2]
Density functional theory data (PBE) for crystalline Cs2Rb4Se at its relaxed geometry.

E_form (uncorrected) (kJ per mole of atoms): -38.0
Symmetry: I4/mmm, No. 139
Crystal system: tetragonal
E_tot (eV per atom): -1.6879
Magnetization (μB/f.u.): 0.0

Cell: 14.5764 14.5764 14.5764 Å, 153.40 153.40 37.98°
Fractional positions:
Cs 0.1943 0.1943 0.0000
Cs 0.8057 0.8057 0.0000
Rb 0.0000 0.5000 0.5000
Rb 0.3803 0.3803 0.0000
Rb 0.5000 0.0000 0.5000
Rb 0.6197 0.6197 0.0000
Se 0.5000 0.5000 0.0000

=====

[3]
Density functional theory data (PBE) for crystalline BaBeTeRu2 at its relaxed geometry.

E_form (uncorrected) (kJ per mole of atoms): 127.4
Symmetry: P4/mmm, No. 123
Crystal system: tetragonal
E_tot (eV per atom): -4.1476
Magnetization (μB/f.u.): 1.7

Cell: 4.9182 4.9182 6.4585 Å, 90.00 90.00 90.00°
Fractional positions:
Ba 0.0000 0.0000 0.0000
Be 0.5000 0.5000 0.0000
Te 0.0000 0.0000 0.5000
Ru 0.0000 0.5000 0.5000
Ru 0.5000 0.0000 0.5000

=====

[4]
Density functional theory data (PBE) for crystalline YTa2MnPd at its relaxed geometry.

Symmetry: P4/mmm, No. 123
Crystal system: tetragonal
E_tot (eV per atom): -6.6028
Magnetization (μB/f.u.): 0.0

Cell: 4.9212 4.9212 4.3345 Å, 90.00 90.00 90.00°
Fractional positions:
Y 0.0000 0.0000 0.0000
Ta 0.0000 0.5000 0.0000
Ta 0.5000 0.0000 0.0000
Mn 0.0000 0.0000 0.5000
Pd 0.5000 0.5000 0.5000